Computed, not measured: a relaxed structure of Ge2TeMoIr at the PBE-GGA level of DFT.

The space group is P4/mmm (No. 123) and the conventional cell measures 5.318, 5.318 and 4.828 Å, with angles of 90.00, 90.00 and 90.00 degrees. The inequivalent atoms are Ge at (0.000, 0.500, 0.000), Te at (0.000, 0.000, 0.000), Mo at (0.500, 0.500, 0.500) and Ir at (0.000, 0.000, 0.500).

The value obtained for the total magnetization is 4.425 μB per cell. The value obtained for the raw total energy is -4.65 eV/atom.